CsLiMg2Au | PBE | optimized geometry

## Properties
Magnetic moment = 0.00 μB per formula unit
Total DFT energy (no corrections) = -1.970 eV per atom
Crystal system = tetragonal
Energy of formation from the pure elements = -0.1234 eV/atom

Unit cell a=5.305 b=5.305 c=5.605 alpha=90.00 beta=90.00 gamma=90.00
Sites, in units of the cell vectors:
1 Cs 0.000 0.000 0.000
2 Li 0.500 0.500 0.000
3 Mg 0.000 0.500 0.500
4 Mg 0.500 0.000 0.500
5 Au 0.500 0.500 0.500



PmEr2Au | PBE | optimized geometry

## Properties
Magnetic moment = 0.00 μB per formula unit
Total DFT energy (no corrections) = -4.701 eV per atom
Crystal system = tetragonal
Energy of formation from the pure elements = -0.4124 eV/atom
Distance to the lowest polymorph of the same formula = 0.006 eV/atom

Unit cell a=3.606 b=3.606 c=8.548 alpha=90.00 beta=90.00 gamma=90.00
Sites, in units of the cell vectors:
1 Pm 0.000 0.000 0.000
2 Er 0.500 0.500 0.299
3 Er 0.500 0.500 0.701
4 Au 0.000 0.000 0.500



Ca2YAg | PBE | optimized geometry

## Properties
Magnetic moment = 0.00 μB per formula unit
Total DFT energy (no corrections) = -3.252 eV per atom
Crystal system = tetragonal
Energy of formation from the pure elements = 0.0775 eV/atom
Distance to the lowest polymorph of the same formula = 0.196 eV/atom

Unit cell a=4.716 b=4.716 c=10.876 alpha=90.00 beta=90.00 gamma=90.00
Sites, in units of the cell vectors:
1 Ca 0.000 0.500 0.250
2 Ca 0.000 0.500 0.750
3 Ca 0.500 0.000 0.250
4 Ca 0.500 0.000 0.750
5 Y 0.000 0.000 0.000
6 Y 0.500 0.500 0.500
7 Ag 0.000 0.000 0.500
8 Ag 0.500 0.500 0.000



Nb2HRuRh | PBE | optimized geometry

## Properties
Magnetic moment = 0.00 μB per formula unit
Total DFT energy (no corrections) = -8.273 eV per atom
Crystal system = tetragonal
Distance to the lowest polymorph of the same formula = 0.016 eV/atom

Unit cell a=4.154 b=4.154 c=3.841 alpha=90.00 beta=90.00 gamma=90.00
Sites, in units of the cell vectors:
1 Nb 0.000 0.500 0.000
2 Nb 0.500 0.000 0.000
3 H 0.000 0.000 0.000
4 Ru 0.500 0.500 0.500
5 Rh 0.000 0.000 0.500



BaPrNd4Se8 | PBE | optimized geometry

## Properties
Magnetic moment = 0.00 μB per formula unit
Total DFT energy (no corrections) = -5.625 eV per atom
Crystal system = trigonal
Formation energy (no corrections) = -1.79 eV per atom

Unit cell a=8.877 b=8.877 c=8.877 alpha=59.83 beta=59.83 gamma=59.83
Sites, in units of the cell vectors:
1 Ba 0.000 0.000 0.000
2 Pr 0.627 0.627 0.627
3 Nd 0.121 0.627 0.627
4 Nd 0.251 0.251 0.251
5 Nd 0.627 0.121 0.627
6 Nd 0.627 0.627 0.121
7 Se 0.382 0.382 0.854
8 Se 0.382 0.854 0.382
9 Se 0.383 0.383 0.383
10 Se 0.422 0.862 0.862
11 Se 0.854 0.382 0.382
12 Se 0.860 0.860 0.860
13 Se 0.862 0.422 0.862
14 Se 0.862 0.862 0.422



VCdSbI2 | PBE | optimized geometry

## Properties
Magnetic moment = 1.88 μB per formula unit
Total DFT energy (no corrections) = -3.254 eV per atom
Crystal system = tetragonal
Distance to the lowest polymorph of the same formula = 0.000 eV/atom
Formation energy (no corrections) = 0.20 eV per atom

Unit cell a=5.499 b=5.499 c=5.388 alpha=90.00 beta=90.00 gamma=90.00
Sites, in units of the cell vectors:
1 V 0.000 0.000 0.000
2 Cd 0.500 0.500 0.500
3 Sb 0.000 0.000 0.500
4 I 0.000 0.500 0.000
5 I 0.500 0.000 0.000